# 1
# TeP2Os | the Alexandria database | PBE | optimized geometry
# magnetization = 0.000 μB/f.u.
# uncorrected energy = -6.056 eV/atom
# E above lowest polymorph = 209 meV per atom
# uncorrected formation energy = 1.0 eV per formula unit
# DOS(E_F) = 0.867 states/eV per cell
data_TeP2Os
_chemical_formula_sum 'Te2 P4 Os2'
_cell_length_a 6.595
_cell_length_b 6.595
_cell_length_c 6.595
_cell_angle_alpha 125.15
_cell_angle_beta 125.15
_cell_angle_gamma 81.29
_space_group_name_H-M_alt 'P 1'
_space_group_IT_number 1
loop_
_space_group_symop_operation_xyz
'x,y,z'
loop_
_atom_site_label
_atom_site_type_symbol
_atom_site_fract_x
_atom_site_fract_y
_atom_site_fract_z
Te1 Te 0.000 0.000 0.000
Te2 Te 0.750 0.250 0.500
P1 P 0.198 0.625 0.073
P2 P 0.375 0.448 0.573
P3 P 0.552 0.125 0.927
P4 P 0.875 0.802 0.427
Os1 Os 0.250 0.750 0.500
Os2 Os 0.500 0.500 0.000

=====

# 2
# Ac2Mg2Pt15 | the Alexandria database | PBE | optimized geometry
# magnetization = 0.000 μB/f.u.
# uncorrected energy = -6.010 eV/atom
# DOS(E_F) = 14.019 states/eV per cell
# energy of formation = -0.64 eV per atom
data_Ac2Mg2Pt15
_chemical_formula_sum 'Ac2 Mg2 Pt15'
_cell_length_a 7.080
_cell_length_b 7.080
_cell_length_c 7.080
_cell_angle_alpha 82.93
_cell_angle_beta 82.93
_cell_angle_gamma 82.93
_space_group_name_H-M_alt 'P 1'
_space_group_IT_number 1
loop_
_space_group_symop_operation_xyz
'x,y,z'
loop_
_atom_site_label
_atom_site_type_symbol
_atom_site_fract_x
_atom_site_fract_y
_atom_site_fract_z
Ac1 Ac 0.152 0.152 0.152
Ac2 Ac 0.848 0.848 0.848
Mg1 Mg 0.400 0.400 0.400
Mg2 Mg 0.600 0.600 0.600
Pt1 Pt 0.000 0.500 0.500
Pt2 Pt 0.157 0.157 0.654
Pt3 Pt 0.157 0.654 0.157
Pt4 Pt 0.195 0.500 0.805
Pt5 Pt 0.195 0.805 0.500
Pt6 Pt 0.346 0.843 0.843
Pt7 Pt 0.500 0.000 0.500
Pt8 Pt 0.500 0.195 0.805
Pt9 Pt 0.500 0.500 0.000
Pt10 Pt 0.500 0.805 0.195
Pt11 Pt 0.654 0.157 0.157
Pt12 Pt 0.805 0.195 0.500
Pt13 Pt 0.805 0.500 0.195
Pt14 Pt 0.843 0.346 0.843
Pt15 Pt 0.843 0.843 0.346

=====

# 3
# CrMoCl4 | the Alexandria database | PBE | optimized geometry
# magnetization = 7.955 μB/f.u.
# uncorrected energy = -3.552 eV/atom
# uncorrected formation energy = 6.5 eV per formula unit
# DOS(E_F) = 11.127 states/eV per cell
data_CrMoCl4
_chemical_formula_sum 'Cr1 Mo1 Cl4'
_cell_length_a 5.862
_cell_length_b 5.862
_cell_length_c 5.862
_cell_angle_alpha 60.00
_cell_angle_beta 60.00
_cell_angle_gamma 60.00
_space_group_name_H-M_alt 'P 1'
_space_group_IT_number 1
loop_
_space_group_symop_operation_xyz
'x,y,z'
loop_
_atom_site_label
_atom_site_type_symbol
_atom_site_fract_x
_atom_site_fract_y
_atom_site_fract_z
Cr1 Cr 0.000 0.000 0.000
Mo1 Mo 0.750 0.750 0.750
Cl1 Cl 0.375 0.375 0.375
Cl2 Cl 0.375 0.375 0.875
Cl3 Cl 0.375 0.875 0.375
Cl4 Cl 0.875 0.375 0.375

=====

# 4
# NaTc2NiHg | the Alexandria database | PBE | optimized geometry
# magnetization = 5.323 μB/f.u.
# uncorrected energy = -4.447 eV/atom
# DOS(E_F) = 5.286 states/eV per cell
# energy of formation = 1.18 eV per atom
data_NaTc2NiHg
_chemical_formula_sum 'Na1 Tc2 Ni1 Hg1'
_cell_length_a 4.636
_cell_length_b 4.636
_cell_length_c 4.977
_cell_angle_alpha 90.00
_cell_angle_beta 90.00
_cell_angle_gamma 90.00
_space_group_name_H-M_alt 'P 1'
_space_group_IT_number 1
loop_
_space_group_symop_operation_xyz
'x,y,z'
loop_
_atom_site_label
_atom_site_type_symbol
_atom_site_fract_x
_atom_site_fract_y
_atom_site_fract_z
Na1 Na 0.000 0.000 0.000
Tc1 Tc 0.000 0.500 0.500
Tc2 Tc 0.500 0.000 0.500
Ni1 Ni 0.500 0.500 0.500
Hg1 Hg 0.500 0.500 0.000

=====

# 5
# Li2BiRhW | the Alexandria database | PBE | optimized geometry
# magnetization = 3.777 μB/f.u.
# uncorrected energy = -4.618 eV/atom
# DOS(E_F) = 2.888 states/eV per cell
# energy of formation = 0.98 eV per atom
data_Li2BiRhW
_chemical_formula_sum 'Li2 Bi1 Rh1 W1'
_cell_length_a 4.492
_cell_length_b 4.492
_cell_length_c 5.150
_cell_angle_alpha 90.00
_cell_angle_beta 90.00
_cell_angle_gamma 90.00
_space_group_name_H-M_alt 'P 1'
_space_group_IT_number 1
loop_
_space_group_symop_operation_xyz
'x,y,z'
loop_
_atom_site_label
_atom_site_type_symbol
_atom_site_fract_x
_atom_site_fract_y
_atom_site_fract_z
Li1 Li 0.000 0.500 0.000
Li2 Li 0.500 0.000 0.000
Bi1 Bi 0.000 0.000 0.500
Rh1 Rh 0.000 0.000 0.000
W1 W 0.500 0.500 0.500

=====

# 6
# Pu2ScPa | the Alexandria database | PBE | optimized geometry
# magnetization = 10.660 μB/f.u.
# uncorrected energy = -11.018 eV/atom
# E above lowest polymorph = 0 meV per atom
# DOS(E_F) = 9.981 states/eV per cell
# energy of formation = 0.10 eV per atom
data_Pu2ScPa
_chemical_formula_sum 'Pu2 Sc1 Pa1'
_cell_length_a 3.288
_cell_length_b 3.288
_cell_length_c 9.002
_cell_angle_alpha 90.00
_cell_angle_beta 90.00
_cell_angle_gamma 90.00
_space_group_name_H-M_alt 'P 1'
_space_group_IT_number 1
loop_
_space_group_symop_operation_xyz
'x,y,z'
loop_
_atom_site_label
_atom_site_type_symbol
_atom_site_fract_x
_atom_site_fract_y
_atom_site_fract_z
Pu1 Pu 0.000 0.000 0.237
Pu2 Pu 0.000 0.000 0.763
Sc1 Sc 0.500 0.500 0.500
Pa1 Pa 0.500 0.500 0.000